Record 1
A geometry-optimized PmVRuRh structure, computed with PBE.

Results
* ΔE_f: -0.08 eV per atom

Structure (CIF):
```
data_PmVRuRh
_cell_length_a 6.550
_cell_length_b 6.550
_cell_length_c 6.550
_cell_angle_alpha 90.00
_cell_angle_beta 90.00
_cell_angle_gamma 90.00
_space_group_name_H-M_alt 'F -4 3 m'
_space_group_IT_number 216
_space_group_name_Hall 'F -4 2 3'
loop_
_atom_site_label
_atom_site_type_symbol
_atom_site_fract_x
_atom_site_fract_y
_atom_site_fract_z
_atom_site_occupancy
Pm1 Pm 0.000 0.000 0.000 1
V1 V 0.000 0.000 0.500 1
Ru1 Ru 0.250 0.250 0.250 1
Rh1 Rh 0.250 0.250 0.750 1
```



Record 2
A geometry-optimized PrNdHg structure, computed with PBE.

Results
* ΔE_f: -0.10 eV per atom

Structure (CIF):
```
data_PrNdHg
_cell_length_a 7.472
_cell_length_b 7.472
_cell_length_c 7.472
_cell_angle_alpha 90.00
_cell_angle_beta 90.00
_cell_angle_gamma 90.00
_space_group_name_H-M_alt 'F -4 3 m'
_space_group_IT_number 216
_space_group_name_Hall 'F -4 2 3'
loop_
_atom_site_label
_atom_site_type_symbol
_atom_site_fract_x
_atom_site_fract_y
_atom_site_fract_z
_atom_site_occupancy
Pr1 Pr 0.000 0.000 0.000 1
Nd1 Nd 0.000 0.000 0.500 1
Hg1 Hg 0.250 0.250 0.250 1
```



Record 3
A geometry-optimized NaGaIrO6 structure, computed with PBE.

Results
* uncorrected formation energy: -951.0 meV per atom

Structure (CIF):
```
data_NaGaIrO6
_cell_length_a 5.1863
_cell_length_b 5.1863
_cell_length_c 10.2857
_cell_angle_alpha 90.00
_cell_angle_beta 90.00
_cell_angle_gamma 120.00
_space_group_name_H-M_alt 'P -3 1 c'
_space_group_IT_number 163
_space_group_name_Hall '-P 3 2c'
loop_
_atom_site_label
_atom_site_type_symbol
_atom_site_fract_x
_atom_site_fract_y
_atom_site_fract_z
_atom_site_occupancy
Na1 Na 0.0000 0.0000 0.0000 1
Ga1 Ga 0.3333 0.6667 0.2500 1
Ir1 Ir 0.3333 0.6667 0.7500 1
O1 O 0.0145 0.3835 0.6464 1
```



Record 4
A geometry-optimized Tl2BiC structure, computed with PBE.

Results
* ΔE_f: 1.03 eV per atom

Structure (CIF):
```
data_Tl2BiC
_cell_length_a 6.330
_cell_length_b 6.330
_cell_length_c 11.202
_cell_angle_alpha 90.00
_cell_angle_beta 90.00
_cell_angle_gamma 90.00
_space_group_name_H-M_alt 'I -4 2 d'
_space_group_IT_number 122
_space_group_name_Hall 'I -4 2bw'
loop_
_atom_site_label
_atom_site_type_symbol
_atom_site_fract_x
_atom_site_fract_y
_atom_site_fract_z
_atom_site_occupancy
Tl1 Tl 0.142 0.250 0.125 1
Bi1 Bi 0.000 0.000 0.500 1
C1 C 0.000 0.000 0.000 1
```



Record 5
A geometry-optimized Li3DyU2Te6 structure, computed with PBE.

Results
* uncorrected formation energy: -924.3 meV per atom

Structure (CIF):
```
data_Li3DyU2Te6
_cell_length_a 7.486
_cell_length_b 12.967
_cell_length_c 7.548
_cell_angle_alpha 90.00
_cell_angle_beta 109.28
_cell_angle_gamma 90.00
_space_group_name_H-M_alt 'C 1 2/m 1'
_space_group_IT_number 12
loop_
_space_group_symop_operation_xyz
'x,y,z'
'-x,-y,-z'
'-x,y,-z'
'x,-y,z'
'x+1/2,y+1/2,z'
'-x+1/2,-y+1/2,-z'
'-x+1/2,y+1/2,-z'
'x+1/2,-y+1/2,z'
loop_
_atom_site_label
_atom_site_type_symbol
_atom_site_fract_x
_atom_site_fract_y
_atom_site_fract_z
_atom_site_occupancy
Li1 Li 0.000 0.000 0.000 1
Li2 Li 0.000 0.334 0.000 1
Dy1 Dy 0.000 0.500 0.500 1
U1 U 0.000 0.167 0.500 1
Te1 Te 0.245 0.500 0.241 1
Te2 Te 0.248 0.165 0.240 1
```



Record 6
A geometry-optimized ZrPtO2F structure, computed with PBE.

Results
* uncorrected formation energy: -1582.7 meV per atom

Structure (CIF):
```
data_ZrPtO2F
_cell_length_a 4.175
_cell_length_b 4.175
_cell_length_c 4.149
_cell_angle_alpha 90.00
_cell_angle_beta 90.00
_cell_angle_gamma 90.00
_space_group_name_H-M_alt 'P 4/m m m'
_space_group_IT_number 123
_space_group_name_Hall '-P 4 2'
loop_
_atom_site_label
_atom_site_type_symbol
_atom_site_fract_x
_atom_site_fract_y
_atom_site_fract_z
_atom_site_occupancy
Zr1 Zr 0.000 0.000 0.000 1
Pt1 Pt 0.500 0.500 0.500 1
O1 O 0.000 0.500 0.000 1
F1 F 0.000 0.000 0.500 1
```



Record 7
A geometry-optimized RbHg3Pt structure, computed with PBE.

Results
* ΔE_f: -0.11 eV per atom

Structure (CIF):
```
data_RbHg3Pt
_cell_length_a 16.883
_cell_length_b 4.395
_cell_length_c 9.087
_cell_angle_alpha 90.00
_cell_angle_beta 115.74
_cell_angle_gamma 90.00
_space_group_name_H-M_alt 'C 1 2/m 1'
_space_group_IT_number 12
loop_
_space_group_symop_operation_xyz
'x,y,z'
'-x,-y,-z'
'-x,y,-z'
'x,-y,z'
'x+1/2,y+1/2,z'
'-x+1/2,-y+1/2,-z'
'-x+1/2,y+1/2,-z'
'x+1/2,-y+1/2,z'
loop_
_atom_site_label
_atom_site_type_symbol
_atom_site_fract_x
_atom_site_fract_y
_atom_site_fract_z
_atom_site_occupancy
Rb1 Rb 0.121 0.000 0.141 1
Hg1 Hg 0.024 0.500 0.738 1
Hg2 Hg 0.171 0.500 0.491 1
Hg3 Hg 0.172 0.000 0.720 1
Pt1 Pt 0.205 0.500 0.929 1
```



Record 8
A geometry-optimized BeRe2PbF structure, computed with PBE.

Results
* uncorrected formation energy: 2451.3 meV per atom

Structure (CIF):
```
data_BeRe2PbF
_cell_length_a 5.479
_cell_length_b 5.479
_cell_length_c 4.548
_cell_angle_alpha 90.00
_cell_angle_beta 90.00
_cell_angle_gamma 90.00
_space_group_name_H-M_alt 'P 4/m m m'
_space_group_IT_number 123
_space_group_name_Hall '-P 4 2'
loop_
_atom_site_label
_atom_site_type_symbol
_atom_site_fract_x
_atom_site_fract_y
_atom_site_fract_z
_atom_site_occupancy
Be1 Be 0.000 0.000 0.000 1
Re1 Re 0.000 0.500 0.500 1
Pb1 Pb 0.000 0.000 0.500 1
F1 F 0.500 0.500 0.000 1
```